# Cs2MgC | Alexandria | PBE | relaxed
data_Cs2MgC
_space_group_name_H-M_alt 'F m -3 m'
_space_group_IT_number 225
_space_group_name_Hall '-F 4 2 3'
_cell_length_a 8.783
_cell_length_b 8.783
_cell_length_c 8.783
_cell_angle_alpha 90.00
_cell_angle_beta 90.00
_cell_angle_gamma 90.00
loop_
_atom_site_label
_atom_site_fract_x
_atom_site_fract_y
_atom_site_fract_z
_atom_site_occupancy
Cs1 0.250 0.250 0.250 1
Mg1 0.000 0.000 0.000 1
C1 0.000 0.000 0.500 1
# **ΔE_f**: 139 kJ per mole of atoms